Tl4V5CdClO15 PBE+U optimized geometry; total energy = -6.3735 eV/atom
1.0
9.259 0.000 0.000
0.000 9.259 0.000
0.000 0.000 5.797
Tl V Cd Cl O
4 5 1 1 15
direct
0.839 0.308 0.916
0.161 0.692 0.916
0.692 0.839 0.916
0.308 0.161 0.916
0.857 0.623 0.447
0.377 0.857 0.447
0.623 0.143 0.447
0.500 0.500 0.465
0.143 0.377 0.447
0.000 0.000 0.489
0.000 0.000 0.044
0.143 0.362 0.160
0.000 0.500 0.539
0.362 0.857 0.160
0.857 0.638 0.160
0.112 0.212 0.574
0.788 0.112 0.574
0.444 0.690 0.551
0.888 0.788 0.574
0.556 0.310 0.551
0.310 0.444 0.551
0.638 0.143 0.160
0.500 0.000 0.539
0.690 0.556 0.551
0.212 0.888 0.574
0.500 0.500 0.186